[1]
The following is a PBE calculation of a relaxed structure of Na11Hg9Pd4, from Alexandria.

a b c (Å): 4.396 11.959 11.959
angles (deg): 112.83 90.00 90.00
Element x y z (fractional)
Pd 0.500 0.438 0.252
Pd 0.500 0.252 0.438
Na 0.000 0.588 0.922
Na 0.000 0.375 0.625
Hg 0.500 0.847 0.384
Hg 0.500 0.616 0.153
Na 0.000 0.625 0.375
Na 0.000 0.078 0.412
Na 0.000 0.708 0.708
Na 0.000 0.175 0.825
Hg 0.500 0.212 0.052
Hg 0.500 0.384 0.847
Pd 0.500 0.562 0.748
Na 0.000 0.825 0.175
Na 0.000 0.292 0.292
Hg 0.500 0.500 0.500
Na 0.000 0.412 0.078
Hg 0.500 0.153 0.616
Hg 0.500 0.788 0.948
Na 0.000 0.922 0.588
Hg 0.500 0.948 0.788
Pd 0.500 0.748 0.562
Hg 0.500 0.052 0.212
Na 0.000 0.000 0.000

**Mass density**: 7.1 g/cm3
**Raw total energy**: -43.0 eV/cell
**Energy of formation**: -0.2104 eV per atom
**Space-group type**: Cmmm (65)


[2]
The following is a PBE calculation of a relaxed structure of NbHSeN2, from Alexandria.

a b c (Å): 4.022 4.022 3.062
angles (deg): 90.00 90.00 90.00
Element x y z (fractional)
N 0.500 0.000 0.000
N 0.000 0.500 0.000
Se 0.000 0.000 0.500
Nb 0.500 0.500 0.500
H 0.000 0.000 0.000

**Mass density**: 6.7 g/cm3
**Raw total energy**: -27.3 eV/cell
**Space-group type**: P4/mmm (123)